# 1
VASP calculation (SCAN) on FeGeI2O at its PBEsol-relaxed geometry.

Output
- Formation energy without anion corrections: 0.68 eV per formula unit
- Density: 5.683 g/cm³

```
data_FeGeI2O
_chemical_formula_sum 'Fe1 Ge1 I2 O1'
_cell_length_a 5.622
_cell_length_b 5.622
_cell_length_c 3.682
_cell_angle_alpha 90.00
_cell_angle_beta 90.00
_cell_angle_gamma 90.00
_symmetry_space_group_name_H-M 'P 4/m m m'
_symmetry_Int_Tables_number 123
_symmetry_space_group_name_Hall '-P 4 2'
loop_
_atom_site_label
_atom_site_fract_x
_atom_site_fract_y
_atom_site_fract_z
Fe1 0.000 0.000 0.000
Ge1 0.500 0.500 0.500
I1 0.000 0.500 0.500
O1 0.500 0.500 0.000
```



# 2
VASP calculation (SCAN) on FeGeSbI2 at its PBEsol-relaxed geometry.

Output
- Formation energy without anion corrections: 3.43 eV per formula unit
- Density: 6.408 g/cm³

```
data_FeGeSbI2
_chemical_formula_sum 'Fe1 Ge1 Sb1 I2'
_cell_length_a 5.151
_cell_length_b 5.151
_cell_length_c 4.922
_cell_angle_alpha 90.00
_cell_angle_beta 90.00
_cell_angle_gamma 90.00
_symmetry_space_group_name_H-M 'P 4/m m m'
_symmetry_Int_Tables_number 123
_symmetry_space_group_name_Hall '-P 4 2'
loop_
_atom_site_label
_atom_site_fract_x
_atom_site_fract_y
_atom_site_fract_z
Fe1 0.000 0.000 0.000
Ge1 0.500 0.500 0.500
Sb1 0.000 0.000 0.500
I1 0.000 0.500 0.000
```



# 3
VASP calculation (SCAN) on FeGeIr2Rh at its PBEsol-relaxed geometry.

Output
- Density: 11.612 g/cm³
- DFT formation energy: 1.0471 eV per atom

```
data_FeGeIr2Rh
_chemical_formula_sum 'Fe1 Ge1 Ir2 Rh1'
_cell_length_a 4.469
_cell_length_b 4.469
_cell_length_c 4.410
_cell_angle_alpha 90.00
_cell_angle_beta 90.00
_cell_angle_gamma 90.00
_symmetry_space_group_name_H-M 'P 4/m m m'
_symmetry_Int_Tables_number 123
_symmetry_space_group_name_Hall '-P 4 2'
loop_
_atom_site_label
_atom_site_fract_x
_atom_site_fract_y
_atom_site_fract_z
Fe1 0.000 0.000 0.000
Ge1 0.500 0.500 0.500
Ir1 0.000 0.500 0.500
Rh1 0.500 0.500 0.000
```



# 4
VASP calculation (SCAN) on LaFe3Ge at its PBEsol-relaxed geometry.

Output
- Density: 6.948 g/cm³
- DFT formation energy: 0.3384 eV per atom

```
data_LaFe3Ge
_chemical_formula_sum 'La1 Fe3 Ge1'
_cell_length_a 4.491
_cell_length_b 4.491
_cell_length_c 4.491
_cell_angle_alpha 90.00
_cell_angle_beta 90.00
_cell_angle_gamma 90.00
_symmetry_space_group_name_H-M 'P m -3 m'
_symmetry_Int_Tables_number 221
_symmetry_space_group_name_Hall '-P 4 2 3'
loop_
_atom_site_label
_atom_site_fract_x
_atom_site_fract_y
_atom_site_fract_z
La1 0.000 0.000 0.000
Fe1 0.000 0.500 0.500
Ge1 0.500 0.500 0.500
```



# 5
VASP calculation (SCAN) on LaFeSiGe2 at its PBEsol-relaxed geometry.

Output
- Formation energy without anion corrections: 8.34 eV per formula unit
- Density: 3.870 g/cm³

```
data_LaFeSiGe2
_chemical_formula_sum 'La1 Fe1 Si1 Ge2'
_cell_length_a 5.440
_cell_length_b 5.440
_cell_length_c 5.339
_cell_angle_alpha 90.00
_cell_angle_beta 90.00
_cell_angle_gamma 90.00
_symmetry_space_group_name_H-M 'P 4/m m m'
_symmetry_Int_Tables_number 123
_symmetry_space_group_name_Hall '-P 4 2'
loop_
_atom_site_label
_atom_site_fract_x
_atom_site_fract_y
_atom_site_fract_z
La1 0.000 0.000 0.000
Fe1 0.500 0.500 0.500
Si1 0.000 0.000 0.500
Ge1 0.000 0.500 0.000
```



# 6
VASP calculation (SCAN) on LiFe2Ge2 at its PBEsol-relaxed geometry.

Output
- Density: 6.107 g/cm³
- DFT formation energy: -0.1206 eV per atom

```
data_LiFe2Ge2
_chemical_formula_sum 'Li2 Fe4 Ge4'
_cell_length_a 3.608
_cell_length_b 3.608
_cell_length_c 11.025
_cell_angle_alpha 90.00
_cell_angle_beta 90.00
_cell_angle_gamma 90.00
_symmetry_space_group_name_H-M 'I 4/m m m'
_symmetry_Int_Tables_number 139
_symmetry_space_group_name_Hall '-I 4 2'
loop_
_atom_site_label
_atom_site_fract_x
_atom_site_fract_y
_atom_site_fract_z
Li1 0.000 0.000 0.000
Fe1 0.000 0.500 0.250
Ge1 0.000 0.000 0.389
```



# 7
VASP calculation (SCAN) on LuFe6Ge6 at its PBEsol-relaxed geometry.

Output
- Density: 9.244 g/cm³
- DFT formation energy: -0.3011 eV per atom

```
data_LuFe6Ge6
_chemical_formula_sum 'Lu1 Fe6 Ge6'
_cell_length_a 4.9681
_cell_length_b 4.9681
_cell_length_c 7.9495
_cell_angle_alpha 90.00
_cell_angle_beta 90.00
_cell_angle_gamma 120.00
_symmetry_space_group_name_H-M 'P 6/m m m'
_symmetry_Int_Tables_number 191
_symmetry_space_group_name_Hall '-P 6 2'
loop_
_atom_site_label
_atom_site_fract_x
_atom_site_fract_y
_atom_site_fract_z
Lu1 0.0000 0.0000 0.0000
Fe1 0.0000 0.5000 0.2498
Ge1 0.0000 0.0000 0.3441
Ge2 0.3333 0.6667 0.0000
Ge3 0.3333 0.6667 0.5000
```



# 8
VASP calculation (SCAN) on MgFe6Ge6 at its PBEsol-relaxed geometry.

Output
- Density: 7.862 g/cm³
- DFT formation energy: -0.1541 eV per atom

```
data_MgFe6Ge6
_chemical_formula_sum 'Mg1 Fe6 Ge6'
_cell_length_a 4.9608
_cell_length_b 4.9608
_cell_length_c 7.8810
_cell_angle_alpha 90.00
_cell_angle_beta 90.00
_cell_angle_gamma 120.00
_symmetry_space_group_name_H-M 'P 6/m m m'
_symmetry_Int_Tables_number 191
_symmetry_space_group_name_Hall '-P 6 2'
loop_
_atom_site_label
_atom_site_fract_x
_atom_site_fract_y
_atom_site_fract_z
Mg1 0.0000 0.0000 0.0000
Fe1 0.0000 0.5000 0.2495
Ge1 0.0000 0.0000 0.3399
Ge2 0.3333 0.6667 0.0000
Ge3 0.3333 0.6667 0.5000
```